[1]
Here is a crystal of Cr3Mo5 relaxed with PBEsol from Alexandria via LeMat-Bulk. Energies are from SCAN.

a b c (Å): 6.0476 6.0489 6.0489
angles (deg): 90.03 90.00 90.00
Closest atoms and distances in Å follow each position.
Sites, in units of the cell vectors:
Cr 0.5000 0.9936 0.9936  2 Cr 2.55, 6 Mo 2.60-2.65
Cr 0.5000 0.9966 0.5053  2 Cr 2.57, 6 Mo 2.60-2.63
Cr 0.2562 0.7507 0.7507  4 Cr 2.55-2.63, 4 Mo 2.55-2.61
Cr 0.7438 0.7507 0.7507  4 Cr 2.55-2.63, 4 Mo 2.55-2.61
Cr 0.5000 0.5053 0.9966  2 Cr 2.57, 6 Mo 2.60-2.63
Cr 0.0000 0.5027 0.5027  2 Cr 2.63, 6 Mo 2.64-2.65
Mo 0.0000 0.9956 0.9956  2 Cr 2.61, 6 Mo 2.63-2.67
Mo 0.0000 0.9929 0.5049  2 Cr 2.60, 6 Mo 2.63-2.68
Mo 0.2547 0.7502 0.2496  4 Cr 2.60-2.64, 4 Mo 2.61-2.64
Mo 0.7453 0.7502 0.2496  4 Cr 2.60-2.64, 4 Mo 2.61-2.64
Mo 0.0000 0.5049 0.9929  2 Cr 2.60, 6 Mo 2.63-2.68
Mo 0.5000 0.5070 0.5070  2 Cr 2.55, 6 Mo 2.61-2.65
Mo 0.2548 0.2501 0.2501  4 Cr 2.63-2.65, 4 Mo 2.65-2.68
Mo 0.7452 0.2501 0.2501  4 Cr 2.63-2.65, 4 Mo 2.65-2.68
Mo 0.2547 0.2496 0.7502  4 Cr 2.60-2.64, 4 Mo 2.61-2.64
Mo 0.7453 0.2496 0.7502  4 Cr 2.60-2.64, 4 Mo 2.61-2.64

Calculated values
Distance to the lowest polymorph of the same formula ... 30 meV/atom
M_tot ... 0.00 μB per atom
Total DFT energy (no corrections) ... -457.6 eV per cell
Calculated formation energy ... 0.098 eV per atom
Space-group type ... Amm2 (38)



[2]
Here is a crystal of TaTlOs2 relaxed with PBEsol from Alexandria via LeMat-Bulk. Energies are from SCAN.

a b c (Å): 3.8588 3.8821 5.1335
angles (deg): 112.22 112.08 90.00
Closest atoms and distances in Å follow each position.
Sites, in units of the cell vectors:
Os 0.9998 0.9998 0.9997  4 Ta 2.74, 4 Tl 2.90-2.91, 4 Os 2.91
Os 0.7506 0.2506 0.5013  4 Tl 2.74, 4 Ta 2.90-2.92, 4 Os 2.91
Ta 0.4996 0.4996 0.9993  8 Os 2.74-2.92, 4 Tl 2.91
Tl 0.2499 0.7499 0.4998  8 Os 2.74-2.91, 4 Ta 2.91

Calculated values
Distance to the lowest polymorph of the same formula ... 98 meV/atom
M_tot ... 0.00 μB per atom
Total DFT energy (no corrections) ... -280.6 eV per cell
Calculated formation energy ... 0.524 eV per atom
Space-group type ... Imm2 (44)